1.
VASP calculation (PBE-GGA) on a geometry-optimized TlGeW structure.

Cell: 4.560 4.560 4.560 Å, 60.00 60.00 60.00°
Element x y z (fractional)
Tl 0.750 0.750 0.750
W 0.000 0.000 0.000
Ge 0.250 0.250 0.250

Values from the calculation:
Excess energy over the best structure of this formula in the dataset, eV/atom: 0.000

***

2.
VASP calculation (PBE-GGA) on a geometry-optimized PmSbNO structure.

Cell: 6.920 6.966 5.701 Å, 90.00 90.00 90.00°
Element x y z (fractional)
Pm 0.582 0.826 0.970
Pm 0.418 0.174 0.470
Pm 0.082 0.174 0.970
Pm 0.918 0.826 0.470
N 0.588 0.879 0.547
N 0.912 0.879 0.047
N 0.412 0.121 0.047
N 0.088 0.121 0.547
O 0.448 0.459 0.717
O 0.052 0.459 0.217
O 0.552 0.541 0.217
O 0.948 0.541 0.717
Sb 0.629 0.315 0.969
Sb 0.371 0.685 0.469
Sb 0.871 0.315 0.469
Sb 0.129 0.685 0.969

Values from the calculation:
Excess energy over the best structure of this formula in the dataset, eV/atom: 0.029

***

3.
VASP calculation (PBE-GGA) on a geometry-optimized Ir3Os3W2 structure.

Cell: 5.528 4.418 5.547 Å, 90.00 119.75 90.00°
Element x y z (fractional)
W 0.666 0.000 0.335
W 0.333 0.500 0.664
Ir 0.834 0.500 0.165
Ir 0.164 0.000 0.832
Ir 0.669 0.000 0.833
Os 0.833 0.500 0.669
Os 0.168 0.000 0.333
Os 0.332 0.500 0.170

Values from the calculation:
Excess energy over the best structure of this formula in the dataset, eV/atom: 0.000
Energy of formation, meV per atom: -257

***

4.
VASP calculation (PBE-GGA) on a geometry-optimized ZnCoGeS3 structure.

Cell: 6.291 6.291 9.995 Å, 90.00 90.00 32.18°
Element x y z (fractional)
S 0.919 0.919 0.750
S 0.634 0.634 0.931
S 0.081 0.081 0.250
S 0.366 0.366 0.069
S 0.634 0.634 0.569
S 0.366 0.366 0.431
Zn 0.000 0.000 0.500
Zn 0.000 0.000 0.000
Co 0.525 0.525 0.750
Co 0.475 0.475 0.250
Ge 0.794 0.794 0.250
Ge 0.206 0.206 0.750

Values from the calculation:
Excess energy over the best structure of this formula in the dataset, eV/atom: 0.164

***

5.
VASP calculation (PBE-GGA) on a geometry-optimized Dy4ErTm2Ni2Se2 structure.

Cell: 9.029 9.029 9.029 Å, 155.85 67.47 118.08°
Element x y z (fractional)
Dy 0.138 0.263 0.874
Dy 0.389 0.263 0.126
Dy 0.057 0.416 0.641
Dy 0.776 0.416 0.359
Se 0.421 0.921 0.500
Se 0.015 0.015 0.000
Ni 0.515 0.752 0.763
Ni 0.989 0.752 0.237
Tm 0.742 0.059 0.683
Tm 0.376 0.059 0.317
Er 0.677 0.677 0.000

Values from the calculation:
Uncorrected energy, eV/atom: -5.362

***

6.
VASP calculation (PBE-GGA) on a geometry-optimized Zr2AlGe2 structure.

Cell: 7.317 7.317 7.317 Å, 149.84 149.84 43.17°
Element x y z (fractional)
Al 0.000 0.000 0.000
Ge 0.750 0.250 0.500
Ge 0.250 0.750 0.500
Zr 0.601 0.601 0.000
Zr 0.399 0.399 0.000

Values from the calculation:
Uncorrected energy, eV/atom: -6.195

***

- Number 5 is which compound?
  Dy4ErTm2Ni2Se2

***

- Which formula does entry 1 have?
  TlGeW